# 1
Here is a relaxed structure of TaRuF2 from Alexandria. Energies are from PBE-GGA.

The crystal system is cubic. Its energy is -6.16 eV/atom. Its formation energy (no corrections) is 56 meV per atom.

The structure belongs to space group Fm-3m (No. 225); the cell edges are 5.883, 5.883 and 5.883 Å and the angles 90.00°, 90.00° and 90.00°. The asymmetric unit holds Ta at (0.000, 0.000, 0.000), Ru at (0.000, 0.000, 0.500) and F at (0.250, 0.250, 0.250).

=====

# 2
Here is a relaxed structure of CsTePdCl6 from Alexandria. Energies are from PBE-GGA.

The crystal system is triclinic. Its energy is -3.05 eV/atom. Its formation energy (no corrections) is -802 meV per atom.

The structure belongs to space group P1 (No. 1); the cell edges are 6.867, 6.868 and 7.348 Å and the angles 94.92°, 94.93° and 110.62°. The asymmetric unit holds Cs at (0.000, 0.000, 0.000), Te at (0.601, 0.401, 0.500), Pd at (0.257, 0.744, 0.500), Cl at (0.295, 0.459, 0.289), Cl at (0.314, 0.098, 0.641), Cl at (0.541, 0.706, 0.711), Cl at (0.604, 0.121, 0.264), Cl at (0.881, 0.397, 0.736) and Cl at (0.903, 0.688, 0.359).

=====

- Which value of energy does entry 1 give?
  -6.16 eV/atom